# 1
Below is a relaxed Rb2VCo crystal, with properties calculated at the PBE level.

Summary:
SG: I-42d (122)
size of the total moment: 0.635 μB per atom
DFT total energy: -27.79 eV for the cell shown
E_form: 1.066 eV per atom

Lattice parameters (Å, degrees): 13.3499 13.3499 9.6926 46.48 46.48 90.00
Closest atoms and distances in Å follow each position.
Fractional positions:
Co (0.0000, 0.0000, 0.0000)  2 V 2.20
Co (0.7500, 0.2500, 0.5000)  2 V 2.20
Rb (0.8098, 0.1250, 0.2500)  2 Co 3.49, 2 V 3.82
Rb (0.9402, 0.6250, 0.2500)  2 Co 3.49, 2 V 3.82
Rb (0.3750, 0.1902, 0.7500)  2 Co 3.49, 2 V 3.82
Rb (0.8750, 0.0598, 0.7500)  2 Co 3.49, 2 V 3.82
V (0.5000, 0.5000, 0.0000)  2 Co 2.20
V (0.2500, 0.7500, 0.5000)  2 Co 2.20

---

# 2
Below is a relaxed RbVCo2 crystal, with properties calculated at the PBE level.

Summary:
SG: I-42d (122)
size of the total moment: 0.000 μB per atom
DFT total energy: -38.43 eV for the cell shown
E_form: 1.270 eV per atom

Lattice parameters (Å, degrees): 7.0347 7.0347 6.0372 54.37 54.37 90.00
Closest atoms and distances in Å follow each position.
Fractional positions:
Co (0.5237, 0.1250, 0.2500)  2 V 2.22
Co (0.2263, 0.6250, 0.2500)  2 V 2.22
Co (0.3750, 0.4763, 0.7500)  2 V 2.22
Co (0.8750, 0.7737, 0.7500)  2 V 2.22
Rb (0.0000, 0.0000, 0.0000)  8 Co 3.15-3.28, 2 V 3.42
Rb (0.7500, 0.2500, 0.5000)  8 Co 3.15-3.28, 2 V 3.42
V (0.5000, 0.5000, 0.0000)  4 Co 2.22
V (0.2500, 0.7500, 0.5000)  4 Co 2.22

---

# 3
Below is a relaxed RbVCo3 crystal, with properties calculated at the PBE level.

Summary:
SG: Pm-3m (221)
size of the total moment: 0.165 μB per atom
DFT total energy: -25.11 eV for the cell shown
E_form: 1.258 eV per atom

Lattice parameters (Å, degrees): 4.5008 4.5008 4.5008 90.00 90.00 90.00
Closest atoms and distances in Å follow each position.
Fractional positions:
Co (0.0000, 0.5000, 0.0000)  2 V 2.25
Co (0.0000, 0.0000, 0.5000)  2 V 2.25
Co (0.5000, 0.0000, 0.0000)  2 V 2.25
Rb (0.5000, 0.5000, 0.5000)  12 Co 3.18
V (0.0000, 0.0000, 0.0000)  6 Co 2.25